# 1
This record from the Alexandria database describes a geometry-optimized Cs2SiAs2H2 structure. The functional is PBE-GGA.

As for the total energy: -3.435 eV per atom. The size of the total moment is 0.00 μB per cell.

The space group is C2/m (No. 12) and the conventional cell measures 13.199, 4.495 and 6.852 Å, with angles of 90.00, 121.14 and 90.00 degrees. The inequivalent atoms are Cs at (0.190, 0.000, 0.190), Si at (0.000, 0.000, 0.500), As at (0.000, 0.500, 0.313) and H at (0.135, 0.000, 0.632).


# 2
This record from the Alexandria database describes a geometry-optimized Cs2SnAsH structure. The functional is PBE-GGA.

As for the total energy: -3.077 eV per atom. The size of the total moment is 0.00 μB per cell. The energy above the most stable polymorph in this dataset is 0.000 eV per atom.

The space group is P2_1/m (No. 11) and the conventional cell measures 7.327, 4.305 and 11.640 Å, with angles of 90.00, 101.67 and 90.00 degrees. The inequivalent atoms are Cs at (0.205, 0.250, 0.401), Cs at (0.279, 0.750, 0.057), Sn at (0.313, 0.750, 0.696), As at (0.169, 0.250, 0.797) and H at (0.447, 0.250, 0.212).


# 3
This record from the Alexandria database describes a geometry-optimized Cs2SnAsH structure. The functional is PBE-GGA.

As for the total energy: -2.604 eV per atom. The size of the total moment is 0.14 μB per cell. The energy above the most stable polymorph in this dataset is 0.473 eV per atom.

The space group is P4/mmm (No. 123) and the conventional cell measures 6.928, 6.928 and 3.605 Å, with angles of 90.00, 90.00 and 90.00 degrees. The inequivalent atoms are Cs at (0.000, 0.500, 0.000), Sn at (0.000, 0.000, 0.500), As at (0.500, 0.500, 0.500) and H at (0.500, 0.500, 0.000).


# 4
This record from the Alexandria database describes a geometry-optimized CsSr2AsH structure. The functional is PBE-GGA.

As for the total energy: -1.800 eV per atom. The size of the total moment is 0.00 μB per cell.

The space group is P4/mmm (No. 123) and the conventional cell measures 6.188, 6.188 and 4.671 Å, with angles of 90.00, 90.00 and 90.00 degrees. The inequivalent atoms are Cs at (0.000, 0.000, 0.000), Sr at (0.000, 0.500, 0.000), As at (0.500, 0.500, 0.500) and H at (0.000, 0.000, 0.500).


# 5
This record from the Alexandria database describes a geometry-optimized Cs2TlAsH structure. The functional is PBE-GGA.

As for the total energy: -2.589 eV per atom. The size of the total moment is 0.00 μB per cell.

The space group is P2_1/m (No. 11) and the conventional cell measures 7.464, 4.655 and 11.066 Å, with angles of 90.00, 101.03 and 90.00 degrees. The inequivalent atoms are Cs at (0.188, 0.250, 0.401), Cs at (0.275, 0.750, 0.061), Tl at (0.326, 0.750, 0.701), As at (0.165, 0.250, 0.776) and H at (0.418, 0.250, 0.205).


# 6
This record from the Alexandria database describes a geometry-optimized CsY2AsH structure. The functional is PBE-GGA.

As for the total energy: -3.263 eV per atom. The size of the total moment is 0.00 μB per cell.

The space group is P4/mmm (No. 123) and the conventional cell measures 5.692, 5.692 and 4.185 Å, with angles of 90.00, 90.00 and 90.00 degrees. The inequivalent atoms are Cs at (0.000, 0.000, 0.000), Y at (0.000, 0.500, 0.000), As at (0.500, 0.500, 0.500) and H at (0.000, 0.000, 0.500).


# 7
This record from the Alexandria database describes a geometry-optimized CsHf2As2 structure. The functional is PBE-GGA.

As for the total energy: -6.634 eV per atom. The size of the total moment is 0.00 μB per cell. For the formation energy, the calculation gives -3.1 eV per formula unit.

The space group is I4/mmm (No. 139) and the conventional cell measures 4.507, 4.507 and 15.474 Å, with angles of 90.00, 90.00 and 90.00 degrees. The inequivalent atoms are Cs at (0.000, 0.000, 0.000), Hf at (0.000, 0.500, 0.250) and As at (0.000, 0.000, 0.344).


# 8
This record from the Alexandria database describes a geometry-optimized CsHfAs structure. The functional is PBE-GGA.

As for the total energy: -5.729 eV per atom. The size of the total moment is 0.00 μB per cell. For the formation energy, the calculation gives -1.7 eV per formula unit.

The space group is P1 (No. 1) and the conventional cell measures 3.702, 3.702 and 14.209 Å, with angles of 84.41, 84.00 and 89.99 degrees. The inequivalent atoms are Cs at (0.000, 0.000, 0.000), Cs at (0.242, 0.259, 0.654), Hf at (0.343, 0.355, 0.390), Hf at (0.894, 0.903, 0.264), As at (0.424, 0.430, 0.191) and As at (0.814, 0.828, 0.463).